Record 1
# ErSc2Si2Rh5

An optimized crystal structure of ErSc2Si2Rh5 (PBE, Alexandria via LeMat-Bulk).

Lattice parameters (Å, degrees): 9.6551 9.6551 3.5166 90.00 90.00 90.00
Element x y z (fractional)
Er  0.0000  0.0000  0.0000
Er  0.5000  0.5000  0.0000
Sc  0.1714  0.3286  0.0000
Sc  0.3286  0.8286  0.0000
Sc  0.6714  0.1714  0.0000
Sc  0.8286  0.6714  0.0000
Si  0.1261  0.6261  0.0000
Si  0.3739  0.1261  0.0000
Si  0.6261  0.8739  0.0000
Si  0.8739  0.3739  0.0000
Rh  0.0000  0.5000  0.5000
Rh  0.0715  0.7827  0.5000
Rh  0.2173  0.0715  0.5000
Rh  0.2827  0.5715  0.5000
Rh  0.4285  0.2827  0.5000
Rh  0.5000  0.0000  0.5000
Rh  0.5715  0.7173  0.5000
Rh  0.7173  0.4285  0.5000
Rh  0.7827  0.9285  0.5000
Rh  0.9285  0.2173  0.5000

Output
- Formation energy from raw total energies: -0.994 eV per atom

Record 2
# P2OsRuCl

An optimized crystal structure of P2OsRuCl (PBE, Alexandria via LeMat-Bulk).

Lattice parameters (Å, degrees): 4.5230 4.5230 4.9289 90.00 90.00 90.00
Element x y z (fractional)
P  0.0000  0.5000  0.0000
P  0.5000  0.0000  0.0000
Os  0.0000  0.0000  0.0000
Ru  0.5000  0.5000  0.5000
Cl  0.0000  0.0000  0.5000

Output
- Relative energy among the computed polymorphs: 0.0000 eV/atom
- Formation energy from raw total energies: 1.129 eV per atom

Record 3
# Na2ZrScTe4

An optimized crystal structure of Na2ZrScTe4 (PBE, Alexandria via LeMat-Bulk).

Lattice parameters (Å, degrees): 7.2360 4.1515 8.0493 90.00 107.29 90.00
Element x y z (fractional)
Na  0.0000  0.0000  0.0000
Na  0.5000  0.5000  0.0000
Zr  0.0000  0.5000  0.5000
Sc  0.5000  0.0000  0.5000
Te  0.2421  0.0000  0.7242
Te  0.2593  0.5000  0.2771
Te  0.7407  0.5000  0.7229
Te  0.7579  0.0000  0.2758

Output
- Formation energy from raw total energies: -1.040 eV per atom

Record 4
# Al2TlOs

An optimized crystal structure of Al2TlOs (PBE, Alexandria via LeMat-Bulk).

Lattice parameters (Å, degrees): 3.2598 4.4778 4.7043 90.00 90.00 90.00
Element x y z (fractional)
Al  0.0000  0.0000  0.0000
Al  0.5000  0.0000  0.5000
Tl  0.0000  0.5000  0.5000
Os  0.5000  0.5000  0.0000

Output
- Relative energy among the computed polymorphs: 0.5992 eV/atom

Record 5
# GaBiRuO6

An optimized crystal structure of GaBiRuO6 (PBE, Alexandria via LeMat-Bulk).

Lattice parameters (Å, degrees): 4.7835 4.7835 9.6067 90.00 90.00 90.00
Element x y z (fractional)
Ga  0.0000  0.0000  0.0000
Ga  0.5000  0.5000  0.5000
Bi  0.0000  0.0000  0.3308
Bi  0.5000  0.5000  0.8308
Ru  0.0000  0.0000  0.6650
Ru  0.5000  0.5000  0.1650
O  0.1750  0.1750  0.8324
O  0.1974  0.1974  0.5181
O  0.2042  0.2042  0.1538
O  0.2958  0.7042  0.6538
O  0.3026  0.6974  0.0181
O  0.3250  0.6750  0.3324
O  0.6750  0.3250  0.3324
O  0.6974  0.3026  0.0181
O  0.7042  0.2958  0.6538
O  0.7958  0.7958  0.1538
O  0.8026  0.8026  0.5181
O  0.8250  0.8250  0.8324

Output
- Formation energy from raw total energies: -1.147 eV per atom

Record 6
# TmTiCoCu

An optimized crystal structure of TmTiCoCu (PBE, Alexandria via LeMat-Bulk).

Lattice parameters (Å, degrees): 6.3839 6.3839 6.3839 90.00 90.00 90.00
Element x y z (fractional)
Tm  0.0000  0.0000  0.0000
Tm  0.0000  0.5000  0.5000
Tm  0.5000  0.0000  0.5000
Tm  0.5000  0.5000  0.0000
Ti  0.0000  0.0000  0.5000
Ti  0.0000  0.5000  0.0000
Ti  0.5000  0.0000  0.0000
Ti  0.5000  0.5000  0.5000
Co  0.2500  0.2500  0.2500
Co  0.2500  0.7500  0.7500
Co  0.7500  0.2500  0.7500
Co  0.7500  0.7500  0.2500
Cu  0.2500  0.2500  0.7500
Cu  0.2500  0.7500  0.2500
Cu  0.7500  0.2500  0.2500
Cu  0.7500  0.7500  0.7500

Output
- Total energy: -96.338 eV per cell

Record 7
# Hg2Pd6Pt

An optimized crystal structure of Hg2Pd6Pt (PBE, Alexandria via LeMat-Bulk).

Lattice parameters (Å, degrees): 8.5149 6.5300 6.1911 83.99 49.70 46.31
Element x y z (fractional)
Hg  0.1616  0.1616  0.8384
Hg  0.8384  0.8384  0.1616
Pd  0.1643  0.5029  0.4971
Pd  0.1699  0.8301  0.1699
Pd  0.4971  0.8357  0.1643
Pd  0.5029  0.1643  0.8357
Pd  0.8301  0.1699  0.8301
Pd  0.8357  0.4971  0.5029
Pt  0.5000  0.5000  0.5000

Output
- Relative energy among the computed polymorphs: 0.0000 eV/atom

Record 8
# Tb2Dy6YSc

An optimized crystal structure of Tb2Dy6YSc (PBE, Alexandria via LeMat-Bulk).

Lattice parameters (Å, degrees): 8.6956 8.6956 9.4217 93.82 93.82 117.69
Element x y z (fractional)
Tb  0.1935  0.2991  0.4544
Tb  0.2991  0.1935  0.9544
Tb  0.7009  0.8065  0.0456
Tb  0.8065  0.7009  0.5456
Dy  0.0038  0.7909  0.8834
Dy  0.0661  0.5078  0.6907
Dy  0.2091  0.9962  0.6166
Dy  0.2527  0.6283  0.0550
Dy  0.3717  0.7473  0.4450
Dy  0.4922  0.9339  0.8093
Dy  0.5078  0.0661  0.1907
Dy  0.6283  0.2527  0.5550
Dy  0.7473  0.3717  0.9450
Dy  0.7909  0.0038  0.3834
Dy  0.9339  0.4922  0.3093
Dy  0.9962  0.2091  0.1166
Y  0.4790  0.5210  0.7500
Y  0.5210  0.4790  0.2500
Sc  0.0866  0.9134  0.2500
Sc  0.9134  0.0866  0.7500

Output
- Total energy: -96.875 eV per cell

Record 9
# Ce2PmLu

An optimized crystal structure of Ce2PmLu (PBE, Alexandria via LeMat-Bulk).

Lattice parameters (Å, degrees): 7.9758 7.9758 7.9758 90.00 90.00 90.00
Element x y z (fractional)
Ce  0.2500  0.2500  0.2500
Ce  0.2500  0.2500  0.7500
Ce  0.2500  0.7500  0.2500
Ce  0.2500  0.7500  0.7500
Ce  0.7500  0.2500  0.2500
Ce  0.7500  0.2500  0.7500
Ce  0.7500  0.7500  0.2500
Ce  0.7500  0.7500  0.7500
Pm  0.0000  0.0000  0.0000
Pm  0.0000  0.5000  0.5000
Pm  0.5000  0.0000  0.5000
Pm  0.5000  0.5000  0.0000
Lu  0.0000  0.0000  0.5000
Lu  0.0000  0.5000  0.0000
Lu  0.5000  0.0000  0.0000
Lu  0.5000  0.5000  0.5000

Output
- Relative energy among the computed polymorphs: 0.1392 eV/atom

Record 10
# HoTlHg

An optimized crystal structure of HoTlHg (PBE, Alexandria via LeMat-Bulk).

Lattice parameters (Å, degrees): 3.6611 3.6611 11.7085 90.00 90.00 90.00
Element x y z (fractional)
Ho  0.0000  0.0000  0.0000
Ho  0.5000  0.5000  0.5000
Tl  0.0000  0.0000  0.3220
Tl  0.5000  0.5000  0.8220
Hg  0.0000  0.0000  0.6541
Hg  0.5000  0.5000  0.1541

Output
- Relative energy among the computed polymorphs: 0.0831 eV/atom

Record 11
# CsSbTe2I

An optimized crystal structure of CsSbTe2I (PBE, Alexandria via LeMat-Bulk).

Lattice parameters (Å, degrees): 6.3346 6.3346 6.7363 90.00 90.00 90.00
Element x y z (fractional)
Cs  0.0000  0.0000  0.0000
Sb  0.5000  0.5000  0.5000
Te  0.0000  0.5000  0.0000
Te  0.5000  0.0000  0.0000
I  0.0000  0.0000  0.5000

Output
- Relative energy among the computed polymorphs: 1.3743 eV/atom
- Formation energy from raw total energies: 0.985 eV per atom

Record 12
# Hf15AlIn4

An optimized crystal structure of Hf15AlIn4 (PBE, Alexandria via LeMat-Bulk).

Lattice parameters (Å, degrees): 4.4111 4.4111 22.0209 90.00 90.00 90.00
Element x y z (fractional)
Hf  0.0000  0.0000  0.0000
Hf  0.0000  0.0000  0.1976
Hf  0.0000  0.0000  0.3992
Hf  0.0000  0.0000  0.6008
Hf  0.0000  0.0000  0.8024
Hf  0.0000  0.5000  0.0960
Hf  0.0000  0.5000  0.2983
Hf  0.0000  0.5000  0.5000
Hf  0.0000  0.5000  0.7017
Hf  0.0000  0.5000  0.9040
Hf  0.5000  0.0000  0.0960
Hf  0.5000  0.0000  0.2983
Hf  0.5000  0.0000  0.5000
Hf  0.5000  0.0000  0.7017
Hf  0.5000  0.0000  0.9040
Al  0.5000  0.5000  0.0000
In  0.5000  0.5000  0.1976
In  0.5000  0.5000  0.3992
In  0.5000  0.5000  0.6008
In  0.5000  0.5000  0.8024

Output
- Total energy: -167.216 eV per cell

Repeat the ninth record exactly.
# Ce2PmLu

An optimized crystal structure of Ce2PmLu (PBE, Alexandria via LeMat-Bulk).

Lattice parameters (Å, degrees): 7.9758 7.9758 7.9758 90.00 90.00 90.00
Element x y z (fractional)
Ce  0.2500  0.2500  0.2500
Ce  0.2500  0.2500  0.7500
Ce  0.2500  0.7500  0.2500
Ce  0.2500  0.7500  0.7500
Ce  0.7500  0.2500  0.2500
Ce  0.7500  0.2500  0.7500
Ce  0.7500  0.7500  0.2500
Ce  0.7500  0.7500  0.7500
Pm  0.0000  0.0000  0.0000
Pm  0.0000  0.5000  0.5000
Pm  0.5000  0.0000  0.5000
Pm  0.5000  0.5000  0.0000
Lu  0.0000  0.0000  0.5000
Lu  0.0000  0.5000  0.0000
Lu  0.5000  0.0000  0.0000
Lu  0.5000  0.5000  0.5000

Output
- Relative energy among the computed polymorphs: 0.1392 eV/atom